Crystalline LiZnCr2 at its relaxed geometry. Source: the Alexandria database, functional PBE-GGA.

## Properties
E_tot: -21.36 eV/f.u.
calculated density: 5730 kg/m³
E above lowest polymorph: 9.1 kJ/mol of atoms

abc: 9.263 9.263 9.263
angles: 15.76 15.76 15.76
Atoms (fractional coordinates):
Cr 0.998 0.998 0.998
Cr 0.253 0.253 0.253
Li 0.500 0.500 0.500
Zn 0.749 0.749 0.749